A plane-wave DFT calculation with PBE-GGA was carried out for an optimized crystal structure of MgPa2Br8.

space-group type: C2/m, No. 12
total DFT energy (no corrections): -4.36 eV per atom
formation energy (no corrections): -1.27 eV per atom

POSCAR file:
```
MgPa2Br8
1.0
6.8995 -4.7585 0.0000
6.8995 4.7585 0.0000
-3.1094 0.0000 6.9312
Mg Pa Br
1 2 8
Cartesian
0.0000 0.0000 0.0000
-0.3153 0.0000 3.7010
11.0050 0.0000 3.2302
5.6499 2.8351 1.5865
1.8937 0.0000 1.7813
5.0398 2.8351 5.3447
1.7281 0.0000 5.4911
8.9616 0.0000 1.4401
5.6499 -2.8351 1.5865
8.7960 0.0000 5.1500
5.0398 -2.8351 5.3447
```